(1)
The following is a DFT calculation (PBE) of a geometry-optimized Nd4Bi3 structure.

Calculated values
**ΔH_f (0 K)**: -80.4 kJ per mole of atoms
**Distance to the lowest polymorph of the same formula**: 0.0 meV per atom
**Density of states at the Fermi level**: 32.9 states/eV per cell

abc: 9.696 9.696 9.696
angles: 90.00 90.00 90.00
Space group I-43d (No. 220)
Inequivalent atoms, fractional coordinates:
Nd: 0.071 0.429 0.571 [16 per cell]
Bi: 0.000 0.250 0.875 [12 per cell]

***

(2)
The following is a DFT calculation (PBE) of a geometry-optimized ScTl2ReC structure.

Calculated values
**ΔH_f (0 K)**: 86.8 kJ per mole of atoms
**Density of states at the Fermi level**: 5.3 states/eV per cell

abc: 5.404 5.404 3.919
angles: 90.00 90.00 90.00
Space group P4/mmm (No. 123)
Inequivalent atoms, fractional coordinates:
Sc: 0.000 0.000 0.000 [1 per cell]
Tl: 0.000 0.500 0.500 [2 per cell]
Re: 0.500 0.500 0.500 [1 per cell]
C: 0.500 0.500 0.000 [1 per cell]

***

(3)
The following is a DFT calculation (PBE) of a geometry-optimized SiBiH structure.

Calculated values
**Uncorrected energy**: -3.848 eV per atom
**Density of states at the Fermi level**: 5.5 states/eV per cell

abc: 6.448 6.708 10.403
angles: 90.00 90.00 90.00
Space group Fmmm (No. 69)
Inequivalent atoms, fractional coordinates:
Si: 0.195 0.000 0.000 [8 per cell]
Bi: 0.000 0.000 0.282 [8 per cell]
H: 0.250 0.250 0.000 [8 per cell]

***

(4)
The following is a DFT calculation (PBE) of a geometry-optimized Th2Be4ZnSi3 structure.

Calculated values
**Formation energy from raw total energies**: -339 kJ/mol of formula units
**Density of states at the Fermi level**: 4.0 states/eV per cell

abc: 4.017 4.017 9.594
angles: 90.00 90.00 90.00
Space group P-4m2 (No. 115)
Inequivalent atoms, fractional coordinates:
Th: 0.000 0.500 0.246 [2 per cell]
Be: 0.000 0.000 0.000 [1 per cell]
Be: 0.000 0.500 0.632 [2 per cell]
Be: 0.500 0.500 0.000 [1 per cell]
Zn: 0.000 0.000 0.500 [1 per cell]
Si: 0.000 0.500 0.873 [2 per cell]
Si: 0.500 0.500 0.500 [1 per cell]

***

Among the records above, which one has the lowest density of states at the Fermi level?
Th2Be4ZnSi3

***

Among the records above, which one has the lowest density of states at the Fermi level?
Th2Be4ZnSi3

***

Which of these has the lowest density of states at the Fermi level?
Th2Be4ZnSi3